LiEuLuRh | Alexandria | PBE | optimized geometry; crystal system = cubic; space group = F-43m, No. 216; spin magnetization = 7.07 μB/f.u.; density of states at the Fermi level = 2.30 states/eV per cell
1.0
-3.635 0.012 -3.378
0.789 -1.935 -4.501
-2.200 -4.256 -1.292
Rh Lu Eu Li
1 1 1 1
Direct
0.500 0.500 0.500
0.750 0.750 0.750
0.250 0.250 0.250
0.000 0.000 0.000

---

LiEuLuRu | Alexandria | PBE | optimized geometry; crystal system = cubic; space group = F-43m, No. 216; spin magnetization = 6.92 μB/f.u.; density of states at the Fermi level = 9.43 states/eV per cell
1.0
4.934 0.000 0.000
2.467 4.273 0.000
2.467 1.424 4.029
Ru Li Eu Lu
1 1 1 1
Direct
0.250 0.250 0.250
0.750 0.750 0.750
0.000 0.000 0.000
0.500 0.500 0.500

---

| no. | formation energy from the elements (eV/atom) |
| --- | --- |
| 1 | -0.35 |
| 2 | -0.09 |